No. 1
Here is crystalline BeP3 at its relaxed geometry from Alexandria. Energies are from GGA-PBE.

Cell and atoms, written as extended XYZ:
```
4
Lattice="2.507 0.000 0.000 0.000 3.286 0.000 -1.124 0.000 6.515" Properties=species:S:1:pos:R:3 pbc="T T T"
Be 0.000 0.000 0.000
P -0.562 0.000 3.257
P -0.561 1.643 5.012
P 1.944 1.643 1.502
```

* symmetry: P2/m (10)
* energy of formation: 0.244 eV/atom

---

No. 2
Here is crystalline InB3Au at its relaxed geometry from Alexandria. Energies are from GGA-PBE.

Cell and atoms, written as extended XYZ:
```
5
Lattice="4.298 0.000 0.000 0.000 4.298 0.000 0.000 0.000 4.298" Properties=species:S:1:pos:R:3 pbc="T T T"
In 0.000 0.000 0.000
B 0.000 2.149 2.149
B 2.149 0.000 2.149
B 2.149 2.149 0.000
Au 2.149 2.149 2.149
```

* symmetry: Pm-3m (221)
* energy of formation: 1.661 eV/atom

---

No. 3
Here is crystalline EuYZnIr at its relaxed geometry from Alexandria. Energies are from GGA-PBE.

Cell and atoms, written as extended XYZ:
```
4
Lattice="0.000 3.536 3.536 3.536 0.000 3.536 3.536 3.536 0.000" Properties=species:S:1:pos:R:3 pbc="T T T"
Eu 0.000 0.000 0.000
Y 3.536 3.536 3.536
Zn 5.304 5.304 5.304
Ir 1.768 1.768 1.768
```

* symmetry: F-43m (216)
* energy of formation: -0.421 eV/atom

---

No. 4
Here is crystalline LiSiI2 at its relaxed geometry from Alexandria. Energies are from GGA-PBE.

Cell and atoms, written as extended XYZ:
```
8
Lattice="-2.979 2.979 8.140 2.979 -2.979 8.140 2.979 2.979 -8.140" Properties=species:S:1:pos:R:3 pbc="T T T"
Li 0.000 0.000 0.000
Li 0.000 2.979 4.070
Si 2.979 0.000 4.070
Si 0.000 0.000 8.140
I 4.469 1.474 -2.035
I 1.474 1.490 2.035
I -1.490 1.505 6.105
I 1.505 1.490 10.175
```

* symmetry: I-42d (122)
* formation energy (no corrections): -0.053 eV per atom

---

No. 5
Here is crystalline Pm3Dy2ErTm6 at its relaxed geometry from Alexandria. Energies are from GGA-PBE.

Cell and atoms, written as extended XYZ:
```
12
Lattice="3.069 -5.312 0.000 3.069 5.312 0.000 -2.041 0.000 11.488" Properties=species:S:1:pos:R:3 pbc="T T T"
Pm 0.000 0.000 0.000
Pm 3.069 1.771 0.000
Pm 3.069 -1.771 0.000
Dy 2.048 3.543 5.744
Dy 2.048 -3.543 5.744
Er 2.048 0.000 5.744
Tm 1.024 1.770 2.907
Tm 0.005 0.000 8.583
Tm 1.024 -1.770 2.907
Tm 3.073 1.770 8.581
Tm 4.092 0.000 2.906
Tm 3.073 -1.770 8.581
```

* symmetry: C2/m (12)
* energy of formation: 0.022 eV/atom

---

No. 6
Here is crystalline MgGaHg3 at its relaxed geometry from Alexandria. Energies are from GGA-PBE.

Cell and atoms, written as extended XYZ:
```
20
Lattice="5.642 0.000 0.000 0.000 5.158 0.000 -1.405 0.000 16.025" Properties=species:S:1:pos:R:3 pbc="T T T"
Mg 0.037 0.661 6.268
Mg -0.665 1.918 14.280
Mg 4.903 3.239 1.744
Mg 4.200 4.497 9.757
Ga 0.568 3.207 7.762
Ga -0.134 4.530 15.775
Ga 4.372 0.628 0.250
Ga 3.669 1.951 8.263
Hg -0.209 3.277 4.844
Hg -0.911 4.459 12.856
Hg 1.197 0.722 9.205
Hg 1.900 1.857 1.193
Hg 1.624 3.425 11.043
Hg 2.326 4.312 3.030
Hg 1.911 0.846 12.995
Hg 2.613 1.733 4.982
Hg 2.338 3.301 14.832
Hg 3.040 4.436 6.820
Hg 5.148 0.698 3.169
Hg 4.446 1.880 11.181
```

* symmetry: P2_1/c (14)
* energy of formation: -0.034 eV/atom

---

No. 7
Here is crystalline LaTlTc2 at its relaxed geometry from Alexandria. Energies are from GGA-PBE.

Cell and atoms, written as extended XYZ:
```
4
Lattice="3.646 0.000 0.000 0.000 3.646 0.000 0.000 0.000 6.579" Properties=species:S:1:pos:R:3 pbc="T T T"
La 0.000 0.000 0.000
Tl 0.000 0.000 3.289
Tc 1.823 1.823 2.048
Tc 1.823 1.823 4.530
```

* symmetry: P4/mmm (123)
* energy of formation: 0.569 eV/atom

---

No. 8
Here is crystalline ScNb3In at its relaxed geometry from Alexandria. Energies are from GGA-PBE.

Cell and atoms, written as extended XYZ:
```
5
Lattice="4.780 0.000 0.000 0.000 4.780 0.000 0.000 0.000 4.780" Properties=species:S:1:pos:R:3 pbc="T T T"
Sc 0.000 0.000 0.000
Nb 0.000 0.000 2.390
Nb 0.000 2.390 0.000
Nb 2.390 0.000 0.000
In 2.390 2.390 2.390
```

* symmetry: Pm-3m (221)
* energy of formation: 1.368 eV/atom

---

No. 9
Here is crystalline Cs2SbAu2 at its relaxed geometry from Alexandria. Energies are from GGA-PBE.

Cell and atoms, written as extended XYZ:
```
10
Lattice="5.853 -3.963 0.000 5.853 3.963 0.000 -1.080 0.000 7.688" Properties=species:S:1:pos:R:3 pbc="T T T"
Cs 1.547 0.965 0.802
Cs 1.007 -0.965 4.646
Cs 9.619 0.965 3.042
Cs 9.079 -0.965 6.886
Sb 5.583 0.261 1.922
Sb 5.043 -0.261 5.766
Au 3.615 1.286 3.711
Au 7.551 1.286 0.133
Au 3.075 -1.286 7.556
Au 7.011 -1.286 3.977
```

* symmetry: C2/c (15)
* formation energy (no corrections): -0.306 eV per atom

---

No. 10
Here is crystalline Pr2NdTm at its relaxed geometry from Alexandria. Energies are from GGA-PBE.

Cell and atoms, written as extended XYZ:
```
4
Lattice="1.829 1.056 11.881 -1.829 1.056 11.881 0.000 -2.112 11.881" Properties=species:S:1:pos:R:3 pbc="T T T"
Pr 0.000 0.000 0.000
Pr 0.000 0.000 6.083
Nd 0.000 0.000 26.822
Tm 0.000 0.000 20.853
```

* symmetry: R3m (160)
* energy of formation: 0.024 eV/atom

---

No. 11
Here is crystalline Dy6Te3Ir2Se at its relaxed geometry from Alexandria. Energies are from GGA-PBE.

Cell and atoms, written as extended XYZ:
```
12
Lattice="9.406 -2.077 0.000 9.406 2.077 0.000 -2.443 0.000 8.327" Properties=species:S:1:pos:R:3 pbc="T T T"
Dy -0.270 0.000 2.064
Dy 5.054 0.000 3.609
Dy 4.111 0.000 7.232
Dy 12.259 0.000 1.095
Dy 11.315 0.000 4.719
Dy 16.640 0.000 6.263
Te 0.923 0.000 7.047
Te 8.185 0.000 4.164
Te 15.447 0.000 1.280
Ir 2.343 0.000 2.869
Ir 14.027 0.000 5.458
Se 9.406 0.000 0.000
```

* symmetry: C2/m (12)
* formation energy (no corrections): -1.260 eV per atom

---

No. 12
Here is crystalline Ca2PuAs3 at its relaxed geometry from Alexandria. Energies are from GGA-PBE.

Cell and atoms, written as extended XYZ:
```
12
Lattice="3.646 -6.315 0.000 3.646 6.315 0.000 -2.429 0.000 6.810" Properties=species:S:1:pos:R:3 pbc="T T T"
Ca 0.000 0.000 0.000
Ca 2.431 4.273 3.405
Ca 2.431 0.000 3.405
Ca 2.431 -4.273 3.405
Pu 3.646 2.108 0.000
Pu 3.646 -2.108 0.000
As 1.277 2.211 1.574
As 0.116 0.000 5.232
As 1.277 -2.211 1.574
As 3.586 2.211 5.236
As 4.746 0.000 1.578
As 3.586 -2.211 5.236
```

* symmetry: C2/m (12)
* energy of formation: -1.004 eV/atom